This record from the Alexandria database describes a geometry-optimized SrMgP2 structure. The functional is PBEsol.

The structure in extended XYZ format:
```
4
Lattice="4.1007 0.0000 0.0000 0.0000 4.1007 0.0000 0.0000 0.0000 5.6889" Properties=species:S:1:pos:R:3 pbc="T T T"
P 2.0504 2.0504 2.1291
P 0.0000 0.0000 4.9810
Mg 2.0504 2.0504 4.9754
Sr 0.0000 0.0000 2.1369
```

Output
- Symmetry: No. 99
- Formation energy: -256 meV/atom
- V: 95.67 Å³ per cell
- Magnetization: 0.002 μB per atom


This record from the Alexandria database describes a geometry-optimized Sr2MgP structure. The functional is PBEsol.

The structure in extended XYZ format:
```
4
Lattice="3.8918 0.0000 0.0000 0.0000 3.8918 0.0000 0.0000 0.0000 7.5555" Properties=species:S:1:pos:R:3 pbc="T T T"
Mg 1.9459 1.9459 0.0000
P 1.9459 1.9459 3.7778
Sr 0.0000 0.0000 5.3196
Sr 0.0000 0.0000 2.2359
```

Output
- Symmetry: No. 123
- Formation energy: -538 meV/atom
- V: 114.44 Å³ per cell
- Magnetization: 0.000 μB per atom


This record from the Alexandria database describes a geometry-optimized SrMgP2 structure. The functional is PBEsol.

The structure in extended XYZ format:
```
4
Lattice="-0.9013 3.7963 0.4340 -3.6861 -1.0263 1.3220 4.2627 -1.5321 4.4978" Properties=species:S:1:pos:R:3 pbc="T T T"
P 0.3011 -0.0225 0.8220
Mg -0.9210 -0.5820 3.1783
P 0.3651 1.8372 2.4441
Sr 1.8992 -0.1419 5.1853
```

Output
- Symmetry: No. 44
- Formation energy: -387 meV/atom
- V: 91.02 Å³ per cell
- Magnetization: 0.000 μB per atom


This record from the Alexandria database describes a geometry-optimized Mg3TaP structure. The functional is PBEsol.

The structure in extended XYZ format:
```
5
Lattice="-4.4142 0.1936 1.8351 1.3134 -3.0125 3.4771 1.2962 3.7119 2.7263" Properties=species:S:1:pos:R:3 pbc="T T T"
Ta -0.9023 0.4465 4.0193
Mg 0.6567 -1.5063 1.7386
Mg 0.6481 1.8559 1.3631
Mg -2.2071 0.0968 0.9176
P 0.0000 0.0000 0.0000
```

Output
- Symmetry: No. 221
- Formation energy: 777 meV/atom
- V: 109.52 Å³ per cell
- Magnetization: 0.382 μB per atom


This record from the Alexandria database describes a geometry-optimized MgTaP2 structure. The functional is PBEsol.

The structure in extended XYZ format:
```
4
Lattice="3.2696 0.0000 0.0000 0.0000 3.4311 0.0000 -1.6348 -1.7155 6.0976" Properties=species:S:1:pos:R:3 pbc="T T T"
Ta 0.0000 0.0000 5.5442
P 0.0000 0.0000 0.3901
Mg 0.0000 1.7155 2.5666
P 1.6348 0.0000 3.6943
```

Output
- Symmetry: No. 44
- Formation energy: -506 meV/atom
- V: 68.41 Å³ per cell
- Magnetization: 0.000 μB per atom


This record from the Alexandria database describes a geometry-optimized MgTc3P structure. The functional is PBEsol.

The structure in extended XYZ format:
```
5
Lattice="4.3512 0.0000 0.0000 0.0000 4.3512 0.0000 0.0000 0.0000 4.3512" Properties=species:S:1:pos:R:3 pbc="T T T"
Tc 0.0000 0.0000 2.1756
Tc 2.1756 0.0000 0.0000
Mg 2.1756 2.1756 2.1756
P 0.0000 0.0000 0.0000
Tc 0.0000 2.1756 0.0000
```

Output
- Symmetry: No. 221
- Formation energy: 363 meV/atom
- V: 82.38 Å³ per cell
- Magnetization: 0.139 μB per atom


This record from the Alexandria database describes a geometry-optimized MgTiTcP2 structure. The functional is PBEsol.

The structure in extended XYZ format:
```
5
Lattice="-2.6902 3.6290 -0.2332 -1.2776 -1.2210 -4.2628 -3.4829 -2.4693 1.7511" Properties=species:S:1:pos:R:3 pbc="T T T"
P -1.7415 -1.2347 0.8756
Ti 0.0000 0.0000 0.0000
Mg -3.7253 -0.0306 -1.3725
Tc -1.3451 1.8145 -0.1166
P -0.6388 -0.6105 -2.1314
```

Output
- Symmetry: No. 123
- Formation energy: 601 meV/atom
- V: 96.32 Å³ per cell
- Magnetization: 0.123 μB per atom


This record from the Alexandria database describes a geometry-optimized MgTeP2 structure. The functional is PBEsol.

The structure in extended XYZ format:
```
4
Lattice="-1.3726 -0.5918 -3.5195 -1.9253 -4.0306 1.4286 -3.5832 3.3915 0.8272" Properties=species:S:1:pos:R:3 pbc="T T T"
P -4.5074 -0.4936 1.8409
Mg -1.6490 -2.3112 -1.0455
Te -2.4779 1.3998 -1.3462
P -1.0012 -0.1455 0.4149
```

Output
- Symmetry: No. 10
- V: 87.13 Å³ per cell
- E_form (uncorrected): -0.14 eV/atom
- Magnetization: 0.000 μB per atom


This record from the Alexandria database describes a geometry-optimized MgTeP2 structure. The functional is PBEsol.

The structure in extended XYZ format:
```
4
Lattice="3.3177 0.0000 0.0000 0.0000 4.7505 0.0000 0.0000 0.0000 4.7505" Properties=species:S:1:pos:R:3 pbc="T T T"
P 0.0000 0.0000 2.3752
Te 1.6589 2.3752 2.3752
Mg 1.6589 0.0000 0.0000
P 0.0000 2.3752 0.0000
```

Output
- Symmetry: No. 123
- V: 74.87 Å³ per cell
- E_form (uncorrected): 0.20 eV/atom
- Magnetization: 0.000 μB per atom


This record from the Alexandria database describes a geometry-optimized MgTeP2 structure. The functional is PBEsol.

The structure in extended XYZ format:
```
4
Lattice="-2.4948 -1.0475 1.8226 -0.9160 -2.0042 -2.4057 4.4342 -5.5106 2.9025" Properties=species:S:1:pos:R:3 pbc="T T T"
Te 2.3493 -2.9196 1.5378
P 0.1944 -0.2416 0.1273
Mg 1.8003 -5.8825 2.0032
P -1.1035 -2.2738 0.1024
```

Output
- Symmetry: No. 99
- V: 81.37 Å³ per cell
- E_form (uncorrected): -0.02 eV/atom
- Magnetization: 0.000 μB per atom


This record from the Alexandria database describes a geometry-optimized MgTeP2 structure. The functional is PBEsol.

The structure in extended XYZ format:
```
4
Lattice="-2.8549 1.0545 2.0382 -1.4436 -4.2993 0.2022 6.5198 5.3536 3.0713" Properties=species:S:1:pos:R:3 pbc="T T T"
Te -0.7218 -2.1497 0.1011
Mg -1.4274 0.5272 1.0191
P 2.3422 2.2650 2.1089
P -0.1208 -0.1562 3.2028
```

Output
- Symmetry: No. 12
- V: 88.23 Å³ per cell
- E_form (uncorrected): -0.16 eV/atom
- Magnetization: 0.000 μB per atom


This record from the Alexandria database describes a geometry-optimized MgTeP2 structure. The functional is PBEsol.

The structure in extended XYZ format:
```
4
Lattice="-0.0732 0.4739 4.7319 -1.4056 -3.6306 2.7321 3.1692 -2.3310 2.6727" Properties=species:S:1:pos:R:3 pbc="T T T"
Mg 0.8451 -2.7439 5.0684
P 0.0000 0.0000 0.0000
P 1.2677 -4.1158 7.6025
Te 0.4226 -1.3719 2.5342
```

Output
- Symmetry: No. 216
- V: 76.08 Å³ per cell
- E_form (uncorrected): 0.35 eV/atom
- Magnetization: 0.000 μB per atom


This record from the Alexandria database describes a geometry-optimized MgTe3P structure. The functional is PBEsol.

The structure in extended XYZ format:
```
5
Lattice="-2.8541 2.3984 -3.7009 -3.3763 -4.0243 -0.0042 -2.8372 2.3764 3.7280" Properties=species:S:1:pos:R:3 pbc="T T T"
Te -1.4270 1.1992 -1.8504
Te -1.4186 1.1882 1.8640
P -4.5338 0.3752 0.0114
Te -1.6881 -2.0122 -0.0021
Mg 0.0000 0.0000 0.0000
```

Output
- Symmetry: No. 221
- V: 144.96 Å³ per cell
- E_form (uncorrected): 0.74 eV/atom
- Magnetization: 0.000 μB per atom


This record from the Alexandria database describes a geometry-optimized MgTi2PW structure. The functional is PBEsol.

The structure in extended XYZ format:
```
5
Lattice="-1.3660 -3.8286 -1.8469 3.8486 -0.2694 -2.2880 1.8505 -2.2920 3.3826" Properties=species:S:1:pos:R:3 pbc="T T T"
Ti 0.9253 -1.1460 1.6913
Ti 1.9243 -0.1347 -1.1440
P 0.0000 0.0000 0.0000
Mg -0.6830 -1.9143 -0.9235
W 2.1666 -3.1950 -0.3762
```

Output
- Symmetry: No. 123
- Formation energy: 508 meV/atom
- V: 89.83 Å³ per cell
- Magnetization: 0.000 μB per atom


This record from the Alexandria database describes a geometry-optimized Mg2TlP structure. The functional is PBEsol.

The structure in extended XYZ format:
```
4
Lattice="3.8483 0.0430 0.0432 -0.0454 4.5833 0.0102 -0.0454 -0.0158 4.5833" Properties=species:S:1:pos:R:3 pbc="T T T"
P 1.9242 0.0215 0.0216
Mg -0.0227 -0.0079 2.2916
Mg -0.0227 2.2916 0.0051
Tl 1.8787 2.3052 2.3183
```

Output
- Symmetry: No. 12
- Formation energy: -99 meV/atom
- V: 80.86 Å³ per cell
- Magnetization: 0.000 μB per atom


This record from the Alexandria database describes a geometry-optimized Mg2TlP structure. The functional is PBEsol.

The structure in extended XYZ format:
```
4
Lattice="-2.6430 1.1788 1.8850 -1.9188 -2.6884 -1.0092 2.2119 -3.5781 5.3263" Properties=species:S:1:pos:R:3 pbc="T T T"
Mg 0.4521 -0.7326 1.0921
Tl -1.1750 -2.5438 3.1010
Mg -0.8832 -1.6666 6.1191
P -2.2809 -0.7548 0.4379
```

Output
- Symmetry: No. 123
- Formation energy: -154 meV/atom
- V: 80.95 Å³ per cell
- Magnetization: 0.000 μB per atom


This record from the Alexandria database describes a geometry-optimized MgTl4P structure. The functional is PBEsol.

The structure in extended XYZ format:
```
6
Lattice="6.1812 0.0000 0.0000 3.0906 5.3530 0.0000 3.0906 1.7843 5.0469" Properties=species:S:1:pos:R:3 pbc="T T T"
Tl 6.1812 5.3606 1.8899
P 0.0000 0.0000 0.0000
Tl 4.6294 2.6728 1.8899
Tl 7.7330 2.6728 1.8899
Tl 6.1812 3.5687 4.4240
Mg 9.2717 5.3530 3.7852
```

Output
- Symmetry: No. 216
- Formation energy: 427 meV/atom
- V: 166.99 Å³ per cell
- Magnetization: 0.000 μB per atom


This record from the Alexandria database describes a geometry-optimized Mg2TlP structure. The functional is PBEsol.

The structure in extended XYZ format:
```
4
Lattice="-1.3657 -3.3284 -0.6158 3.3848 -1.3445 -0.2398 -0.0150 -1.2148 6.5994" Properties=species:S:1:pos:R:3 pbc="T T T"
Tl 0.9981 -3.2621 4.6007
P -0.0059 -0.4800 2.6075
Mg 1.0046 -2.7344 1.7342
Mg -0.0002 -0.0186 0.1011
```

Output
- Symmetry: No. 99
- Formation energy: -52 meV/atom
- V: 89.40 Å³ per cell
- Magnetization: 0.000 μB per atom


This record from the Alexandria database describes a geometry-optimized MgP2W structure. The functional is PBEsol.

The structure in extended XYZ format:
```
4
Lattice="-2.0348 1.7036 0.6373 -0.0646 -0.2700 -2.7151 -5.7818 -7.2260 0.8561" Properties=species:S:1:pos:R:3 pbc="T T T"
Mg -2.5235 -1.1252 -0.8207
P -5.1236 -4.3748 -0.4357
W -2.9362 -3.6696 0.4347
P -0.1887 -0.2358 0.0279
```

Output
- Symmetry: No. 35
- Formation energy: 261 meV/atom
- V: 66.53 Å³ per cell
- Magnetization: 0.000 μB per atom


This record from the Alexandria database describes a geometry-optimized MgP2W structure. The functional is PBEsol.

The structure in extended XYZ format:
```
4
Lattice="-2.4464 0.2393 2.6026 -1.7004 -2.8529 -1.3361 4.6250 -1.4563 2.0193" Properties=species:S:1:pos:R:3 pbc="T T T"
Mg 0.4256 -2.8080 0.6582
W -2.0734 -1.3068 0.6332
P 0.0000 0.0000 0.0000
P 0.0526 -1.2619 2.6276
```

Output
- Symmetry: No. 119
- Formation energy: 215 meV/atom
- V: 58.98 Å³ per cell
- Magnetization: 0.000 μB per atom